# 1
The following is a PBE calculation of crystalline NaAsPt at its relaxed geometry, from Alexandria via LeMat-Bulk.

a b c (Å): 6.5141 6.5141 6.5141
angles (deg): 90.00 90.00 90.00
Closest atoms and distances in Å follow each position.
Space group P2_13 (No. 198)
Symmetry-distinct sites (fractional):
Na: 0.1185 0.1185 0.1185 [4 per cell]  4 Pt 3.15-3.32, 3 As 3.19
As: 0.0681 0.5681 0.9319 [4 per cell]  3 Pt 2.39
Pt: 0.1605 0.3395 0.6605 [4 per cell]  3 As 2.39

Properties
Crystal system ... cubic

=====

# 2
The following is a PBE calculation of crystalline NaAsPt at its relaxed geometry, from Alexandria via LeMat-Bulk.

a b c (Å): 4.7883 4.7752 5.8074
angles (deg): 90.00 95.69 90.00
Closest atoms and distances in Å follow each position.
Space group P2_1/m (No. 11)
Symmetry-distinct sites (fractional):
Na: 0.2298 0.2500 0.3803 [2 per cell]  2 As 2.90-2.95, 2 Pt 3.10-3.22
As: 0.1525 0.2500 0.8780 [2 per cell]  4 Pt 2.54-2.58
Pt: 0.3301 0.7500 0.9774 [2 per cell]  4 As 2.54-2.58

Properties
Crystal system ... monoclinic

=====

# 3
The following is a PBE calculation of crystalline RbNa2AsPt at its relaxed geometry, from Alexandria via LeMat-Bulk.

a b c (Å): 5.4823 5.4823 6.3181
angles (deg): 90.00 90.00 90.00
Closest atoms and distances in Å follow each position.
Space group P4/mmm (No. 123)
Symmetry-distinct sites (fractional):
Rb: 0.0000 0.0000 0.0000 [1 per cell]  2 Pt 3.16
Na: 0.0000 0.5000 0.5000 [2 per cell]  2 Pt 2.74
As: 0.5000 0.5000 0.0000 [1 per cell]  4 Rb 3.88, 8 Na 4.18
Pt: 0.0000 0.0000 0.5000 [1 per cell]  4 Na 2.74

Properties
Distance to the lowest polymorph of the same formula ... 0.5976 eV/atom
Crystal system ... tetragonal

=====

For each record above, in turn, the calculated formation energy values are -0.477, -0.448, 0.324 eV/atom.
For each record above, in turn, the calculated calculated volume values are 23.0, 22.0, 38.0 A^3/atom.
For each record above, in turn, the calculated density values are 7.04, 7.36, 3.51 g/cm3.